# CeZrP2 PBE-GGA relaxed
# distance to the lowest polymorph of the same formula = 13.3 kJ per mole of atoms
# ΔH_f (0 K) = -5.32 eV/f.u.
# ρ = 5.7 g/cm³
# VASP energy = -7.6556 eV per atom
data_CeZrP2
_chemical_formula_sum 'Ce3 Zr3 P6'
_cell_length_a 3.7972
_cell_length_b 3.7972
_cell_length_c 20.4848
_cell_angle_alpha 90.00
_cell_angle_beta 90.00
_cell_angle_gamma 120.00
_space_group_name_H-M_alt 'R 3 m'
_space_group_IT_number 160
_space_group_name_Hall 'R 3 -2"'
loop_
_atom_site_label
_atom_site_type_symbol
_atom_site_fract_x
_atom_site_fract_y
_atom_site_fract_z
Ce1 Ce 0.0000 0.0000 0.0000
Zr1 Zr 0.0000 0.0000 0.8261
P1 P 0.0000 0.0000 0.2380
P2 P 0.0000 0.0000 0.4204